Entry 1:
# CaDyInAu

Crystalline CaDyInAu at its relaxed geometry (GGA-PBE, Alexandria).

Its calculated formation energy is -0.61 eV per atom. As for the density of states at the Fermi level: 14.70 states/eV/cell. Its crystal system is cubic.

The space group is F-43m (No. 216) and the conventional cell measures 7.412, 7.412 and 7.412 Å, with angles of 90.00, 90.00 and 90.00 degrees. Symmetry generates all atoms from Ca at (0.000, 0.000, 0.000), Dy at (0.000, 0.000, 0.500), In at (0.250, 0.250, 0.250) and Au at (0.250, 0.250, 0.750).



Entry 2:
# CePmNd2Co2

Crystalline CePmNd2Co2 at its relaxed geometry (GGA-PBE, Alexandria).

Its calculated formation energy is -0.08 eV per atom. As for the density of states at the Fermi level: 27.03 states/eV/cell. Its crystal system is orthorhombic.

The space group is Ibam (No. 72) and the conventional cell measures 7.001, 12.824 and 6.788 Å, with angles of 90.00, 90.00 and 90.00 degrees. Symmetry generates all atoms from Ce at (0.000, 0.000, 0.250), Pm at (0.000, 0.500, 0.250), Nd at (0.203, 0.201, 0.000) and Co at (0.211, 0.091, 0.500).



Entry 3:
# TlSi4Ru

Crystalline TlSi4Ru at its relaxed geometry (GGA-PBE, Alexandria).

As for the density of states at the Fermi level: 15.88 states/eV/cell. For the uncorrected formation energy, the calculation gives 0.671 eV/atom. Its crystal system is cubic.

The space group is F-43m (No. 216) and the conventional cell measures 7.348, 7.348 and 7.348 Å, with angles of 90.00, 90.00 and 90.00 degrees. Symmetry generates all atoms from Tl at (0.000, 0.000, 0.000), Si at (0.124, 0.124, 0.376) and Ru at (0.250, 0.250, 0.750).



Entry 4:
# CdCoP2S

Crystalline CdCoP2S at its relaxed geometry (GGA-PBE, Alexandria).

As for the density of states at the Fermi level: 5.03 states/eV/cell. For the uncorrected formation energy, the calculation gives 1.587 eV/atom. Its crystal system is tetragonal.

The space group is P4/mmm (No. 123) and the conventional cell measures 4.914, 4.914 and 4.994 Å, with angles of 90.00, 90.00 and 90.00 degrees. Symmetry generates all atoms from Cd at (0.000, 0.000, 0.000), Co at (0.500, 0.500, 0.500), P at (0.000, 0.500, 0.000) and S at (0.000, 0.000, 0.500).



Entry 5:
# BaAuCl2

Crystalline BaAuCl2 at its relaxed geometry (GGA-PBE, Alexandria).

As for the density of states at the Fermi level: 2.34 states/eV/cell. For the uncorrected formation energy, the calculation gives -1.252 eV/atom. Its crystal system is monoclinic.

The space group is C2/m (No. 12) and the conventional cell measures 7.113, 7.107 and 4.255 Å, with angles of 90.00, 96.92 and 90.00 degrees. Symmetry generates all atoms from Ba at (0.000, 0.000, 0.000), Au at (0.000, 0.500, 0.000) and Cl at (0.250, 0.250, 0.500).



Entry 6:
# NiTeSN2

Crystalline NiTeSN2 at its relaxed geometry (GGA-PBE, Alexandria).

As for the density of states at the Fermi level: 2.88 states/eV/cell. For the uncorrected formation energy, the calculation gives 1.215 eV/atom. Its crystal system is tetragonal.

The space group is P4/mmm (No. 123) and the conventional cell measures 3.741, 3.741 and 5.740 Å, with angles of 90.00, 90.00 and 90.00 degrees. Symmetry generates all atoms from Ni at (0.000, 0.000, 0.000), Te at (0.000, 0.000, 0.500), S at (0.500, 0.500, 0.500) and N at (0.000, 0.500, 0.000).



Entry 7:
# NbN2F

Crystalline NbN2F at its relaxed geometry (GGA-PBE, Alexandria).

As for the density of states at the Fermi level: 0.26 states/eV/cell. For the uncorrected formation energy, the calculation gives -0.152 eV/atom. Its crystal system is trigonal.

The space group is R-3m (No. 166, hexagonal axes) and the conventional cell measures 3.1892, 3.1892 and 17.1008 Å, with angles of 90.00, 90.00 and 120.00 degrees. Symmetry generates all atoms from Nb at (0.0000, 0.0000, 0.0000), N at (0.0000, 0.0000, 0.3945) and F at (0.0000, 0.0000, 0.5000).



Entry 8:
# CaAlPt2Cl

Crystalline CaAlPt2Cl at its relaxed geometry (GGA-PBE, Alexandria).

As for the density of states at the Fermi level: 3.23 states/eV/cell. For the uncorrected formation energy, the calculation gives 0.263 eV/atom. Its crystal system is tetragonal.

The space group is P4/mmm (No. 123) and the conventional cell measures 4.788, 4.788 and 4.777 Å, with angles of 90.00, 90.00 and 90.00 degrees. Symmetry generates all atoms from Ca at (0.000, 0.000, 0.000), Al at (0.500, 0.500, 0.000), Pt at (0.000, 0.500, 0.500) and Cl at (0.500, 0.500, 0.500).



Entry 9:
# Pm3DyTh2As6

Crystalline Pm3DyTh2As6 at its relaxed geometry (GGA-PBE, Alexandria).

Its calculated formation energy is -1.50 eV per atom. As for the density of states at the Fermi level: 8.26 states/eV/cell. Its crystal system is monoclinic.

The space group is C2/m (No. 12) and the conventional cell measures 18.426, 4.232 and 8.443 Å, with angles of 90.00, 103.35 and 90.00 degrees. Symmetry generates all atoms from Pm at (0.000, 0.000, 0.000), Pm at (0.166, 0.500, 0.334), Dy at (0.000, 0.000, 0.500), Th at (0.165, 0.500, 0.830), As at (0.000, 0.500, 0.255), As at (0.165, 0.000, 0.582) and As at (0.167, 0.000, 0.083).



Entry 10:
# Tb3Ho2Er

Crystalline Tb3Ho2Er at its relaxed geometry (GGA-PBE, Alexandria).

Its calculated formation energy is 0.00 eV per atom. As for the density of states at the Fermi level: 14.49 states/eV/cell. Its crystal system is triclinic.

The space group is P-1 (No. 2) and the conventional cell measures 7.125, 7.128 and 8.763 Å, with angles of 90.02, 101.73 and 119.98 degrees. Symmetry generates all atoms from Tb at (0.000, 0.250, 0.000), Tb at (0.222, 0.361, 0.667), Tb at (0.278, 0.639, 0.334), Ho at (0.223, 0.862, 0.667), Ho at (0.278, 0.138, 0.334) and Er at (0.500, 0.250, 0.000).



Entry 11:
# TbPm2Nd2

Crystalline TbPm2Nd2 at its relaxed geometry (GGA-PBE, Alexandria).

Its calculated formation energy is 0.23 eV per atom. As for the density of states at the Fermi level: 33.06 states/eV/cell. Its crystal system is monoclinic.

The space group is C2/c (No. 15) and the conventional cell measures 8.644, 9.845 and 9.026 Å, with angles of 90.00, 112.48 and 90.00 degrees. Symmetry generates all atoms from Tb at (0.000, 0.201, 0.250), Pm at (0.000, 0.500, 0.000), Pm at (0.250, 0.250, 0.000) and Nd at (0.159, 0.088, 0.637).



Entry 12:
# FeBC2

Crystalline FeBC2 at its relaxed geometry (GGA-PBE, Alexandria).

Its calculated formation energy is 0.57 eV per atom. As for the density of states at the Fermi level: 3.54 states/eV/cell. Its crystal system is monoclinic.

The space group is Cm (No. 8) and the conventional cell measures 4.758, 2.752 and 5.206 Å, with angles of 90.00, 108.16 and 90.00 degrees. Symmetry generates all atoms from Fe at (0.000, 0.000, 0.000), B at (0.478, 0.000, 0.446), C at (0.099, 0.500, 0.803) and C at (0.127, 0.000, 0.393).



Entry 13:
# KMg5In3

Crystalline KMg5In3 at its relaxed geometry (GGA-PBE, Alexandria).

Its calculated formation energy is -0.04 eV per atom. As for the density of states at the Fermi level: 19.90 states/eV/cell. Its crystal system is orthorhombic.

The space group is Cmcm (No. 63) and the conventional cell measures 4.699, 15.053 and 14.604 Å, with angles of 90.00, 90.00 and 90.00 degrees. Symmetry generates all atoms from K at (0.000, 0.158, 0.250), Mg at (0.000, 0.000, 0.000), Mg at (0.000, 0.194, 0.556), Mg at (0.000, 0.434, 0.145), In at (0.000, 0.133, 0.750) and In at (0.000, 0.387, 0.558).



Entry 14:
# Dy6Rh2N

Crystalline Dy6Rh2N at its relaxed geometry (GGA-PBE, Alexandria).

As for the density of states at the Fermi level: 13.90 states/eV/cell. For the uncorrected formation energy, the calculation gives -0.812 eV/atom. Its crystal system is monoclinic.

The space group is P2_1/c (No. 14) and the conventional cell measures 6.423, 7.031 and 11.286 Å, with angles of 90.00, 123.52 and 90.00 degrees. Symmetry generates all atoms from Dy at (0.125, 0.039, 0.242), Dy at (0.234, 0.693, 0.060), Dy at (0.366, 0.174, 0.057), Rh at (0.291, 0.095, 0.753) and N at (0.000, 0.000, 0.000).



Entry 15:
# CsBaHgO2

Crystalline CsBaHgO2 at its relaxed geometry (GGA-PBE, Alexandria).

As for the density of states at the Fermi level: 3.41 states/eV/cell. For the uncorrected formation energy, the calculation gives -1.223 eV/atom. Its crystal system is monoclinic.

The space group is P2/c (No. 13) and the conventional cell measures 7.826, 6.697 and 7.841 Å, with angles of 90.00, 107.82 and 90.00 degrees. Symmetry generates all atoms from Cs at (0.000, 0.183, 0.250), Ba at (0.500, 0.487, 0.750), Hg at (0.500, 0.000, 0.000) and O at (0.371, 0.281, 0.452).



Entry 16:
# FeRe4Rh

Crystalline FeRe4Rh at its relaxed geometry (GGA-PBE, Alexandria).

Its calculated formation energy is 0.48 eV per atom. As for the density of states at the Fermi level: 17.25 states/eV/cell. Its crystal system is cubic.

The space group is F-43m (No. 216) and the conventional cell measures 7.235, 7.235 and 7.235 Å, with angles of 90.00, 90.00 and 90.00 degrees. Symmetry generates all atoms from Fe at (0.000, 0.000, 0.000), Re at (0.125, 0.125, 0.625) and Rh at (0.250, 0.250, 0.250).



Entry 17:
# P2HOs

Crystalline P2HOs at its relaxed geometry (GGA-PBE, Alexandria).

Its total energy is -94.6 eV/cell. As for the density of states at the Fermi level: 5.88 states/eV/cell. Its crystal system is cubic.

The space group is Fm-3m (No. 225) and the conventional cell measures 5.705, 5.705 and 5.705 Å, with angles of 90.00, 90.00 and 90.00 degrees. Symmetry generates all atoms from P at (0.250, 0.250, 0.250), H at (0.000, 0.000, 0.000) and Os at (0.000, 0.000, 0.500).



Entry 18:
# Cd2Sb2Br

Crystalline Cd2Sb2Br at its relaxed geometry (GGA-PBE, Alexandria).

As for the density of states at the Fermi level: 5.63 states/eV/cell. For the uncorrected formation energy, the calculation gives -0.064 eV/atom. Its crystal system is tetragonal.

The space group is I4/mmm (No. 139) and the conventional cell measures 5.502, 5.502 and 9.956 Å, with angles of 90.00, 90.00 and 90.00 degrees. Symmetry generates all atoms from Cd at (0.000, 0.500, 0.250), Sb at (0.000, 0.000, 0.140) and Br at (0.000, 0.000, 0.500).



Entry 19:
# LiAc2Sb

Crystalline LiAc2Sb at its relaxed geometry (GGA-PBE, Alexandria).

As for the density of states at the Fermi level: 3.18 states/eV/cell. For the uncorrected formation energy, the calculation gives -0.513 eV/atom. Its crystal system is tetragonal.

The space group is P4/mmm (No. 123) and the conventional cell measures 5.485, 5.485 and 4.374 Å, with angles of 90.00, 90.00 and 90.00 degrees. Symmetry generates all atoms from Li at (0.000, 0.000, 0.000), Ac at (0.000, 0.500, 0.500) and Sb at (0.500, 0.500, 0.000).



Entry 20:
# La4SiSe2Cl

Crystalline La4SiSe2Cl at its relaxed geometry (GGA-PBE, Alexandria).

As for the density of states at the Fermi level: 8.01 states/eV/cell. For the uncorrected formation energy, the calculation gives -1.642 eV/atom. Its crystal system is tetragonal.

The space group is I4/mmm (No. 139) and the conventional cell measures 6.075, 6.075 and 12.279 Å, with angles of 90.00, 90.00 and 90.00 degrees. Symmetry generates all atoms from La at (0.000, 0.000, 0.241), La at (0.000, 0.500, 0.000), Si at (0.000, 0.000, 0.000), Se at (0.000, 0.500, 0.250) and Cl at (0.000, 0.000, 0.500).